9
Lattice="7.243 0.000 0.000 -3.621 6.273 0.000 0.000 0.000 4.241" Properties=species:S:1:pos:R:3 comment="AcPm2Si6 | Alexandria via LeMat-Bulk | PBE-GGA | relaxed" raw_formation_energy_ev_per_atom=-0.55 polymorph_energy_ev_per_atom=0.000 total_energy_ev_per_atom=-5.67 mass_density_g_cm3=5.91 pbc="T T T"
Ac 0.000 0.000 0.000
Pm 0.000 4.182 0.000
Pm 3.621 2.091 0.000
Si -1.226 2.124 2.121
Si -2.395 4.148 2.121
Si 2.453 0.000 2.121
Si 1.226 2.124 2.121
Si 4.790 0.000 2.121
Si 2.395 4.148 2.121


4
Lattice="3.572 0.000 0.000 0.000 3.572 0.000 0.000 0.000 8.607" Properties=species:S:1:pos:R:3 comment="Pm2ThRh | Alexandria via LeMat-Bulk | PBE-GGA | relaxed" polymorph_energy_ev_per_atom=0.173 total_energy_ev_per_atom=-6.35 formation_enthalpy_0k_mev_per_atom=-279 mass_density_g_cm3=9.45 pbc="T T T"
Pm 0.000 0.000 1.688
Pm 0.000 0.000 6.919
Th 1.786 1.786 4.304
Rh 1.786 1.786 0.000


10
Lattice="3.813 0.000 0.000 0.000 3.813 0.000 0.000 0.000 19.239" Properties=species:S:1:pos:R:3 comment="SrY4In5 | Alexandria via LeMat-Bulk | PBE-GGA | relaxed" total_energy_ev_per_atom=-4.60 formation_enthalpy_0k_mev_per_atom=-480 mass_density_g_cm3=6.04 pbc="T T T"
Sr 0.000 0.000 0.000
Y 0.000 0.000 4.053
Y 0.000 0.000 7.773
Y 0.000 0.000 11.466
Y 0.000 0.000 15.186
In 1.907 1.907 2.234
In 1.907 1.907 5.927
In 1.907 1.907 9.620
In 1.907 1.907 13.312
In 1.907 1.907 17.005


8
Lattice="-2.099 2.099 7.944 2.099 -2.099 7.944 2.099 2.099 -7.944" Properties=species:S:1:pos:R:3 comment="PmAg2Pd5 | Alexandria via LeMat-Bulk | PBE-GGA | relaxed" total_energy_ev_per_atom=-4.96 formation_enthalpy_0k_mev_per_atom=-405 mass_density_g_cm3=10.59 pbc="T T T"
Pm 0.000 0.000 0.000
Ag 0.000 0.000 3.982
Ag 0.000 0.000 11.905
Pd 2.099 0.000 2.047
Pd 2.099 0.000 5.897
Pd 0.000 0.000 7.944
Pd 0.000 2.099 2.047
Pd 0.000 2.099 5.897


16
Lattice="1.718 -5.952 0.000 1.718 5.952 0.000 0.000 0.000 11.712" Properties=species:S:1:pos:R:3 comment="SrDy2CrN4 | Alexandria via LeMat-Bulk | PBE-GGA | relaxed" raw_formation_energy_ev_per_atom=-1.19 total_energy_ev_per_atom=-7.92 mass_density_g_cm3=7.22 pbc="T T T"
Sr 1.718 4.870 8.784
Sr 1.718 -4.870 2.928
Dy 1.718 1.547 6.345
Dy 1.718 1.547 11.223
Dy 1.718 -1.547 0.489
Dy 1.718 -1.547 5.367
Cr 1.718 3.851 2.928
Cr 1.718 -3.851 8.784
N 0.000 0.000 0.000
N 0.000 0.000 5.856
N 1.718 2.860 1.436
N 1.718 2.860 4.420
N 1.718 1.155 8.784
N 1.718 -1.155 2.928
N 1.718 -2.860 7.291
N 1.718 -2.860 10.276


4
Lattice="2.755 0.000 0.000 0.000 2.755 0.000 0.000 0.000 7.520" Properties=species:S:1:pos:R:3 comment="CdNi2Mo | Alexandria via LeMat-Bulk | PBE-GGA | relaxed" total_energy_ev_per_atom=-5.79 formation_enthalpy_0k_mev_per_atom=39 mass_density_g_cm3=9.48 pbc="T T T"
Cd 0.000 0.000 0.000
Ni 1.377 1.377 2.009
Ni 1.377 1.377 5.512
Mo 0.000 0.000 3.760


5
Lattice="5.888 0.000 0.000 0.000 5.888 0.000 0.000 0.000 5.888" Properties=species:S:1:pos:R:3 comment="BiTe3Pb | Alexandria via LeMat-Bulk | PBE-GGA | relaxed" raw_formation_energy_ev_per_atom=0.33 polymorph_energy_ev_per_atom=0.348 total_energy_ev_per_atom=-3.08 mass_density_g_cm3=6.50 pbc="T T T"
Bi 0.000 0.000 0.000
Te 0.000 0.000 2.944
Te 0.000 2.944 0.000
Te 2.944 0.000 0.000
Pb 2.944 2.944 2.944


5
Lattice="4.249 0.000 0.000 0.000 4.249 0.000 0.000 0.000 5.699" Properties=species:S:1:pos:R:3 comment="ScSbIO2 | Alexandria via LeMat-Bulk | PBE-GGA | relaxed" raw_formation_energy_ev_per_atom=-0.96 total_energy_ev_per_atom=-5.35 mass_density_g_cm3=5.25 pbc="T T T"
Sc 0.000 0.000 0.000
Sb 2.125 2.125 2.850
I 0.000 0.000 2.850
O 0.000 2.125 0.000
O 2.125 0.000 0.000


32
Lattice="10.011 0.000 0.000 0.000 14.202 0.000 0.000 0.000 7.113" Properties=species:S:1:pos:R:3 comment="LaTb2Er5 | Alexandria via LeMat-Bulk | PBE-GGA | relaxed" total_energy_ev_per_atom=-4.60 formation_enthalpy_0k_mev_per_atom=23 mass_density_g_cm3=8.49 pbc="T T T"
La 2.493 1.778 0.000
La 2.512 8.879 0.000
La 7.499 5.323 0.000
La 7.517 12.424 0.000
Tb 0.000 7.101 1.797
Tb 0.000 7.101 5.316
Tb 2.492 1.780 3.556
Tb 2.513 8.881 3.556
Tb 5.005 0.000 1.797
Tb 5.005 0.000 5.316
Tb 7.497 5.321 3.556
Tb 7.519 12.422 3.556
Er 0.000 0.000 1.796
Er 0.000 0.000 5.316
Er 10.007 3.548 1.798
Er 10.007 3.548 5.315
Er 0.003 10.654 1.798
Er 0.003 10.654 5.315
Er 2.495 12.427 3.556
Er 2.505 5.327 0.000
Er 2.500 12.428 0.000
Er 2.510 5.326 3.556
Er 5.002 3.553 1.798
Er 5.002 3.553 5.315
Er 5.005 7.101 1.796
Er 5.005 7.101 5.316
Er 5.008 10.649 1.798
Er 5.008 10.649 5.315
Er 7.500 8.875 3.556
Er 7.511 1.774 0.000
Er 7.505 8.875 0.000
Er 7.515 1.774 3.556


20
Lattice="5.661 3.269 2.834 -5.661 3.269 2.834 0.000 -6.537 2.834" Properties=species:S:1:pos:R:3 comment="RbLi3Se4O12 | Alexandria via LeMat-Bulk | PBE-GGA | relaxed" raw_formation_energy_ev_per_atom=-0.79 total_energy_ev_per_atom=-4.79 mass_density_g_cm3=3.24 pbc="T T T"
Rb 0.000 0.000 0.000
Li -3.144 -1.092 2.834
Li 2.518 -2.177 2.834
Li 0.626 3.269 2.834
Se -2.554 -4.423 4.251
Se 0.000 0.000 4.251
Se -2.554 4.423 4.251
Se 5.108 0.000 4.251
O -3.360 -2.929 3.984
O -4.472 0.000 4.251
O -0.857 -4.374 4.519
O -1.718 0.000 4.251
O -3.360 2.929 4.519
O 2.236 -3.873 4.251
O 0.859 -1.487 4.251
O -0.857 4.374 3.984
O 0.859 1.487 4.251
O 4.217 -1.445 3.984
O 2.236 3.873 4.251
O 4.217 1.445 4.519


4
Lattice="0.000 3.682 3.682 3.682 0.000 3.682 3.682 3.682 0.000" Properties=species:S:1:pos:R:3 comment="NaPrSbPd | Alexandria via LeMat-Bulk | PBE-GGA | relaxed" raw_formation_energy_ev_per_atom=-0.58 total_energy_ev_per_atom=-4.44 mass_density_g_cm3=6.52 pbc="T T T"
Na 0.000 0.000 0.000
Pr 3.682 3.682 3.682
Sb 5.522 5.522 5.522
Pd 1.841 1.841 1.841


4
Lattice="2.466 1.424 6.628 -2.466 1.424 6.628 0.000 -2.847 6.628" Properties=species:S:1:pos:R:3 comment="NpTlBi2 | Alexandria via LeMat-Bulk | PBE-GGA | relaxed" polymorph_energy_ev_per_atom=0.191 total_energy_ev_per_atom=-5.55 formation_enthalpy_0k_mev_per_atom=222 mass_density_g_cm3=10.22 pbc="T T T"
Np 0.000 0.000 0.000
Tl 0.000 0.000 16.468
Bi 0.000 0.000 8.125
Bi 0.000 0.000 11.838